[1]
Material: Na4Np3NiS8
Method: DFT, PBE
State: relaxed

```
Na4Np3NiS8
1.0
6.898 -3.834 0.000
6.898 3.834 0.000
-4.439 0.000 6.682
Na Np Ni S
4 3 1 8
direct
0.000 0.000 0.000 Na
0.000 0.500 0.000 Na
0.500 0.000 0.000 Na
0.500 0.500 0.000 Na
0.000 0.000 0.500 Np
0.000 0.500 0.500 Np
0.500 0.000 0.500 Np
0.500 0.500 0.500 Ni
0.236 0.236 0.254 S
0.239 0.239 0.730 S
0.263 0.713 0.702 S
0.287 0.737 0.298 S
0.713 0.263 0.702 S
0.737 0.287 0.298 S
0.761 0.761 0.270 S
0.764 0.764 0.746 S
```

## Properties
Total magnetization: 11.0 μB per formula unit
DFT total energy: -6.33 eV/atom
Symmetry: C2/m, No. 12
Density of states at the Fermi level: 29.316 states/eV/f.u.

=====

[2]
Material: TiZnW
Method: DFT, PBE
State: relaxed

```
TiZnW
1.0
1.406 0.812 14.175
-1.406 0.812 14.175
0.000 -1.623 14.175
Ti Zn W
2 2 2
direct
0.081 0.081 0.081 Ti
0.919 0.919 0.919 Ti
0.360 0.360 0.360 Zn
0.640 0.640 0.640 Zn
0.195 0.195 0.195 W
0.805 0.805 0.805 W
```

## Properties
Total magnetization: 0.0 μB per formula unit
DFT total energy: -7.21 eV/atom
Symmetry: R-3m, No. 166
Energy relative to the lowest polymorph listed for this composition: 227 meV per atom
ΔH_f (0 K): 167 meV/atom
Density of states at the Fermi level: 3.683 states/eV/f.u.

=====

[3]
Material: TeMo2As
Method: DFT, PBE
State: relaxed

```
TeMo2As
1.0
3.232 0.000 0.000
0.000 3.232 0.000
0.000 0.000 7.989
Te Mo As
1 2 1
direct
0.000 0.000 0.000 Te
0.000 0.000 0.579 Mo
0.500 0.500 0.793 Mo
0.500 0.500 0.427 As
```

## Properties
Total magnetization: 0.0 μB per formula unit
DFT total energy: -7.31 eV/atom
Symmetry: P4mm, No. 99
Energy relative to the lowest polymorph listed for this composition: 0 meV per atom
Density of states at the Fermi level: 4.219 states/eV/f.u.

=====

[4]
Material: Hf3ScTi
Method: DFT, PBE
State: relaxed

```
Hf3ScTi
1.0
4.961 0.000 0.000
0.000 4.961 0.000
0.000 0.000 4.961
Hf Sc Ti
3 1 1
direct
0.000 0.000 0.500 Hf
0.000 0.500 0.000 Hf
0.500 0.000 0.000 Hf
0.500 0.500 0.500 Sc
0.000 0.000 0.000 Ti
```

## Properties
Total magnetization: 0.0 μB per formula unit
DFT total energy: -8.05 eV/atom
Symmetry: Pm-3m, No. 221
Energy relative to the lowest polymorph listed for this composition: 0 meV per atom
ΔH_f (0 K): 765 meV/atom
Density of states at the Fermi level: 11.348 states/eV/f.u.